# MgTiTl2 (GGA-PBE, relaxed)
# Calculated total energy: -39.256 eV for the cell shown
# Energy of formation from the pure elements: 0.28 eV/atom
# ρ: 8.0 g/cm3
# Calculated volume: 301 Å³ per cell
data_MgTiTl2
_chemical_formula_sum 'Mg3 Ti3 Tl6'
_symmetry_space_group_name_H-M 'R 3 m'
_symmetry_Int_Tables_number 160
_symmetry_space_group_name_Hall 'R 3 -2"'
_cell_length_a 4.4864
_cell_length_b 4.4864
_cell_length_c 17.2614
_cell_angle_alpha 90.00
_cell_angle_beta 90.00
_cell_angle_gamma 120.00
loop_
_atom_site_label
_atom_site_fract_x
_atom_site_fract_y
_atom_site_fract_z
_atom_site_occupancy
Mg1 0.0000 0.0000 0.0000 1
Ti1 0.0000 0.0000 0.1880 1
Tl1 0.0000 0.0000 0.5816 1
Tl2 0.0000 0.0000 0.7706 1